Record 1
# ZrTePt2 | the Alexandria database | PBE | optimized geometry
# uncorrected formation energy: -0.61 eV per atom
# M_tot: 0.000 μB per atom
data_ZrTePt2
_symmetry_space_group_name_H-M 'R 3 m'
_symmetry_Int_Tables_number 160
_symmetry_space_group_name_Hall 'R 3 -2"'
_cell_length_a 4.2192
_cell_length_b 4.2192
_cell_length_c 17.1071
_cell_angle_alpha 90.00
_cell_angle_beta 90.00
_cell_angle_gamma 120.00
loop_
_atom_site_label
_atom_site_type_symbol
_atom_site_fract_x
_atom_site_fract_y
_atom_site_fract_z
Zr1 Zr 0.0000 0.0000 0.0000
Te1 Te 0.0000 0.0000 0.1764
Pt1 Pt 0.0000 0.0000 0.5920
Pt2 Pt 0.0000 0.0000 0.7492

Record 2
# Ba4SrN | the Alexandria database | PBE | optimized geometry
# uncorrected formation energy: -0.12 eV per atom
# M_tot: 0.038 μB per atom
data_Ba4SrN
_symmetry_space_group_name_H-M 'C 1 2/m 1'
_symmetry_Int_Tables_number 12
_symmetry_space_group_name_Hall '-C 2y'
_cell_length_a 25.265
_cell_length_b 4.475
_cell_length_c 11.291
_cell_angle_alpha 90.00
_cell_angle_beta 102.87
_cell_angle_gamma 90.00
loop_
_atom_site_label
_atom_site_type_symbol
_atom_site_fract_x
_atom_site_fract_y
_atom_site_fract_z
Ba1 Ba 0.007 0.000 0.283
Ba2 Ba 0.104 0.500 0.640
Ba3 Ba 0.106 0.000 0.000
Ba4 Ba 0.217 0.000 0.821
Sr1 Sr 0.190 0.000 0.392
N1 N 0.100 0.000 0.773

Record 3
# PPdI2N | the Alexandria database | PBE | optimized geometry
# uncorrected formation energy: 1.07 eV per atom
# M_tot: 0.000 μB per atom
data_PPdI2N
_symmetry_space_group_name_H-M 'P 4/m m m'
_symmetry_Int_Tables_number 123
_symmetry_space_group_name_Hall '-P 4 2'
_cell_length_a 5.627
_cell_length_b 5.627
_cell_length_c 3.739
_cell_angle_alpha 90.00
_cell_angle_beta 90.00
_cell_angle_gamma 90.00
loop_
_atom_site_label
_atom_site_type_symbol
_atom_site_fract_x
_atom_site_fract_y
_atom_site_fract_z
P1 P 0.000 0.000 0.000
Pd1 Pd 0.500 0.500 0.500
I1 I 0.000 0.500 0.500
N1 N 0.500 0.500 0.000

Record 4
# Th4GaAg | the Alexandria database | PBE | optimized geometry
# M_tot: 0.000 μB per atom
# final energy: -0.226 hartree per atom
data_Th4GaAg
_symmetry_space_group_name_H-M 'P 4/m c c'
_symmetry_Int_Tables_number 124
_symmetry_space_group_name_Hall '-P 4 2c'
_cell_length_a 7.630
_cell_length_b 7.630
_cell_length_c 5.738
_cell_angle_alpha 90.00
_cell_angle_beta 90.00
_cell_angle_gamma 90.00
loop_
_atom_site_label
_atom_site_type_symbol
_atom_site_fract_x
_atom_site_fract_y
_atom_site_fract_z
Th1 Th 0.153 0.338 0.000
Ga1 Ga 0.000 0.000 0.250
Ag1 Ag 0.500 0.500 0.250

Record 5
# SrZrSiAg2 | the Alexandria database | PBE | optimized geometry
# uncorrected formation energy: 1.71 eV per atom
# M_tot: 0.120 μB per atom
data_SrZrSiAg2
_symmetry_space_group_name_H-M 'P 4/m m m'
_symmetry_Int_Tables_number 123
_symmetry_space_group_name_Hall '-P 4 2'
_cell_length_a 5.242
_cell_length_b 5.242
_cell_length_c 5.635
_cell_angle_alpha 90.00
_cell_angle_beta 90.00
_cell_angle_gamma 90.00
loop_
_atom_site_label
_atom_site_type_symbol
_atom_site_fract_x
_atom_site_fract_y
_atom_site_fract_z
Sr1 Sr 0.000 0.000 0.000
Zr1 Zr 0.000 0.000 0.500
Si1 Si 0.500 0.500 0.500
Ag1 Ag 0.000 0.500 0.000

Record 6
# Li3ZrN2 | the Alexandria database | PBE | optimized geometry
# uncorrected formation energy: -0.56 eV per atom
# M_tot: 0.000 μB per atom
data_Li3ZrN2
_symmetry_space_group_name_H-M 'P 1 21/c 1'
_symmetry_Int_Tables_number 14
_symmetry_space_group_name_Hall '-P 2ybc'
_cell_length_a 6.113
_cell_length_b 10.890
_cell_length_c 6.120
_cell_angle_alpha 90.00
_cell_angle_beta 118.59
_cell_angle_gamma 90.00
loop_
_atom_site_label
_atom_site_type_symbol
_atom_site_fract_x
_atom_site_fract_y
_atom_site_fract_z
Li1 Li 0.028 0.201 0.266
Li2 Li 0.229 0.064 0.046
Li3 Li 0.319 0.525 0.043
Zr1 Zr 0.484 0.704 0.734
N1 N 0.388 0.147 0.396
N2 N 0.489 0.553 0.548

Record 7
# ZrNbIn2I | the Alexandria database | PBE | optimized geometry
# uncorrected formation energy: 0.95 eV per atom
# M_tot: 0.449 μB per atom
data_ZrNbIn2I
_symmetry_space_group_name_H-M 'P 4/m m m'
_symmetry_Int_Tables_number 123
_symmetry_space_group_name_Hall '-P 4 2'
_cell_length_a 5.500
_cell_length_b 5.500
_cell_length_c 5.338
_cell_angle_alpha 90.00
_cell_angle_beta 90.00
_cell_angle_gamma 90.00
loop_
_atom_site_label
_atom_site_type_symbol
_atom_site_fract_x
_atom_site_fract_y
_atom_site_fract_z
Zr1 Zr 0.000 0.000 0.000
Nb1 Nb 0.500 0.500 0.500
In1 In 0.000 0.500 0.500
I1 I 0.500 0.500 0.000

Record 8
# Cs2K2Rb2O | the Alexandria database | PBE | optimized geometry
# uncorrected formation energy: -0.43 eV per atom
# M_tot: 0.000 μB per atom
data_Cs2K2Rb2O
_symmetry_space_group_name_H-M 'P -1'
_symmetry_Int_Tables_number 2
_symmetry_space_group_name_Hall '-P 1'
_cell_length_a 4.597
_cell_length_b 9.079
_cell_length_c 12.054
_cell_angle_alpha 109.78
_cell_angle_beta 90.04
_cell_angle_gamma 104.64
loop_
_atom_site_label
_atom_site_type_symbol
_atom_site_fract_x
_atom_site_fract_y
_atom_site_fract_z
Cs1 Cs 0.009 0.018 0.168
K1 K 0.342 0.686 0.937
Rb1 Rb 0.348 0.690 0.411
O1 O 0.500 0.000 0.000

Record 9
# Na2ScHPb | the Alexandria database | PBE | optimized geometry
# M_tot: 0.000 μB per atom
# final energy: -0.125 hartree per atom
data_Na2ScHPb
_symmetry_space_group_name_H-M 'P 4/m m m'
_symmetry_Int_Tables_number 123
_symmetry_space_group_name_Hall '-P 4 2'
_cell_length_a 4.447
_cell_length_b 4.447
_cell_length_c 5.038
_cell_angle_alpha 90.00
_cell_angle_beta 90.00
_cell_angle_gamma 90.00
loop_
_atom_site_label
_atom_site_type_symbol
_atom_site_fract_x
_atom_site_fract_y
_atom_site_fract_z
Na1 Na 0.000 0.500 0.000
Sc1 Sc 0.000 0.000 0.500
H1 H 0.000 0.000 0.000
Pb1 Pb 0.500 0.500 0.500

Record 10
# Si6Te7 | the Alexandria database | PBE | optimized geometry
# uncorrected formation energy: 0.55 eV per atom
# M_tot: 0.000 μB per atom
data_Si6Te7
_symmetry_space_group_name_H-M 'R -3 m'
_symmetry_Int_Tables_number 166
_symmetry_space_group_name_Hall '-R 3 2"'
_cell_length_a 7.5344
_cell_length_b 7.5344
_cell_length_c 23.8673
_cell_angle_alpha 90.00
_cell_angle_beta 90.00
_cell_angle_gamma 120.00
loop_
_atom_site_label
_atom_site_type_symbol
_atom_site_fract_x
_atom_site_fract_y
_atom_site_fract_z
Si1 Si 0.0000 0.0000 0.0871
Si2 Si 0.0000 0.0000 0.1879
Si3 Si 0.0000 0.0000 0.3270
Te1 Te 0.0000 0.0000 0.5000
Te2 Te 0.0096 0.5048 0.9211

Record 11
# SnAsOsAuCl | the Alexandria database | PBE | optimized geometry
# uncorrected formation energy: 0.09 eV per atom
# M_tot: 0.000 μB per atom
data_SnAsOsAuCl
_symmetry_space_group_name_H-M 'P 1'
_symmetry_Int_Tables_number 1
_symmetry_space_group_name_Hall 'P 1'
_cell_length_a 3.176
_cell_length_b 5.462
_cell_length_c 6.878
_cell_angle_alpha 94.00
_cell_angle_beta 103.23
_cell_angle_gamma 106.13
loop_
_atom_site_label
_atom_site_type_symbol
_atom_site_fract_x
_atom_site_fract_y
_atom_site_fract_z
Sn1 Sn 0.000 0.000 0.000
As1 As 0.779 0.046 0.488
Os1 Os 0.501 0.256 0.733
Au1 Au 0.147 0.678 0.664
Cl1 Cl 0.772 0.464 0.098

Record 12
# KRbGeO3 | the Alexandria database | PBE | optimized geometry
# uncorrected formation energy: -1.69 eV per atom
# M_tot: 0.000 μB per atom
data_KRbGeO3
_symmetry_space_group_name_H-M 'C 1 2/c 1'
_symmetry_Int_Tables_number 15
_symmetry_space_group_name_Hall '-C 2yc'
_cell_length_a 6.336
_cell_length_b 12.184
_cell_length_c 5.511
_cell_angle_alpha 90.00
_cell_angle_beta 100.70
_cell_angle_gamma 90.00
loop_
_atom_site_label
_atom_site_type_symbol
_atom_site_fract_x
_atom_site_fract_y
_atom_site_fract_z
K1 K 0.000 0.092 0.250
Rb1 Rb 0.000 0.255 0.750
Ge1 Ge 0.000 0.453 0.250
O1 O 0.000 0.309 0.250
O2 O 0.188 0.470 0.983